# 1
Computed, not measured: crystalline KErTl at its relaxed geometry at the PBE level of DFT.

Cell and atoms, written as extended XYZ:
```
6
Lattice="3.9928 0.0000 0.0000 0.0000 3.9928 0.0000 -1.9964 -1.9964 14.4302" Properties=species:S:1:pos:R:3 pbc="T T T"
Tl 1.9964 1.9964 9.7717
Tl 0.0000 0.0000 4.6585
Er 0.0000 0.0000 8.2936
Er 1.9964 1.9964 6.1365
K 0.0000 0.0000 12.2324
K 1.9964 1.9964 2.1978
```

Computed properties:
- V: 230.1 Å³/cell
- DOS at the Fermi energy: 1.98 states/eV/f.u.
- Crystal system: tetragonal
- Calculated formation energy: -0.32 eV per formula unit


# 2
Computed, not measured: crystalline KEr2Tl9 at its relaxed geometry at the PBE level of DFT.

Cell and atoms, written as extended XYZ:
```
12
Lattice="4.8495 0.0000 0.0000 0.0000 4.8495 0.0000 0.0000 0.0000 14.5758" Properties=species:S:1:pos:R:3 pbc="T T T"
Tl 2.4247 2.4247 0.0000
Tl 0.0000 2.4247 7.2879
Tl 2.4247 0.0000 7.2879
Tl 0.0000 2.4247 2.6274
Tl 2.4247 0.0000 11.9484
Tl 2.4247 0.0000 2.6274
Tl 0.0000 2.4247 11.9484
Tl 2.4247 2.4247 4.8969
Tl 2.4247 2.4247 9.6789
K 0.0000 0.0000 0.0000
Er 0.0000 0.0000 9.5257
Er 0.0000 0.0000 5.0501
```

Computed properties:
- V: 342.8 Å³/cell
- DOS at the Fermi energy: 7.66 states/eV/f.u.
- Crystal system: tetragonal
- Calculated formation energy: -1.49 eV per formula unit


# 3
Computed, not measured: crystalline KEr2Tl3 at its relaxed geometry at the PBE level of DFT.

Cell and atoms, written as extended XYZ:
```
6
Lattice="-3.1778 0.7851 1.9935 -0.7731 -3.7460 0.2429 6.4162 -0.6447 10.4816" Properties=species:S:1:pos:R:3 pbc="T T T"
Er -0.9941 -1.5790 2.7214
Er 3.4593 -2.0265 9.9965
Tl 0.0000 0.0000 0.0000
Tl 4.5325 -0.4554 7.4043
Tl 1.8837 -0.1893 3.0773
K 1.2326 -1.8027 6.3590
```

Computed properties:
- V: 180.8 Å³/cell
- DOS at the Fermi energy: 3.96 states/eV/f.u.
- Crystal system: tetragonal
- Calculated formation energy: -1.38 eV per formula unit


# 4
Computed, not measured: crystalline KErTl2 at its relaxed geometry at the PBE level of DFT.

Cell and atoms, written as extended XYZ:
```
4
Lattice="-0.4335 -5.5552 0.0617 1.3761 -2.9524 -4.5212 4.5945 -3.1531 0.0234" Properties=species:S:1:pos:R:3 pbc="T T T"
Tl 4.1528 -8.7456 -3.3271
Tl 1.3843 -2.9152 -1.1090
Er 2.7686 -5.8304 -2.2181
K 0.0000 0.0000 0.0000
```

Computed properties:
- V: 122.4 Å³/cell
- Energy above the lowest structure with this stoichiometry: 139 meV/atom
- DOS at the Fermi energy: 1.98 states/eV/f.u.
- Crystal system: cubic
- Calculated formation energy: -0.20 eV per formula unit


# 5
Computed, not measured: crystalline KEr2Tm at its relaxed geometry at the PBE level of DFT.

Cell and atoms, written as extended XYZ:
```
4
Lattice="-0.4244 -3.1615 1.5189 2.4035 -2.5397 -0.5056 7.2902 2.2753 10.8819" Properties=species:S:1:pos:R:3 pbc="T T T"
K 0.0000 0.0000 0.0000
Er 3.8981 -4.4926 4.0651
Er 5.3711 1.0667 7.8301
Tm 4.6346 -1.7129 5.9476
```

Computed properties:
- V: 142.0 Å³/cell
- DOS at the Fermi energy: 3.70 states/eV/f.u.
- Crystal system: trigonal
- Calculated formation energy: 1.01 eV per formula unit


# 6
Computed, not measured: crystalline KErTm2 at its relaxed geometry at the PBE level of DFT.

Cell and atoms, written as extended XYZ:
```
4
Lattice="-2.4050 2.4290 0.8629 -1.3458 0.0685 3.2577 8.3261 8.9696 5.1586" Properties=species:S:1:pos:R:3 pbc="T T T"
K 0.0000 0.0000 0.0000
Tm -0.9848 4.8478 5.2139
Tm 5.5601 6.6193 4.0653
Er 2.2877 5.7335 4.6396
```

Computed properties:
- V: 141.3 Å³/cell
- DOS at the Fermi energy: 3.80 states/eV/f.u.
- Crystal system: trigonal
- Calculated formation energy: 1.05 eV per formula unit


# 7
Computed, not measured: crystalline LaEr6 at its relaxed geometry at the PBE level of DFT.

Cell and atoms, written as extended XYZ:
```
7
Lattice="7.0353 0.0000 0.0000 -2.3451 6.6329 0.0000 -2.3451 -3.3165 5.7443" Properties=species:S:1:pos:R:3 pbc="T T T"
La 0.0000 0.0000 0.0000
Er 1.1725 4.1456 1.4361
Er -1.1725 0.8291 4.3082
Er 1.1725 -0.8291 4.3082
Er 3.5176 0.0000 2.8721
Er -1.1725 3.3165 2.8721
Er 3.5176 2.4873 1.4361
```

Computed properties:
- V: 268.1 Å³/cell
- DOS at the Fermi energy: 11.35 states/eV/f.u.
- Crystal system: cubic
- Calculated formation energy: 9.77 eV per formula unit


# 8
Computed, not measured: crystalline La8Er at its relaxed geometry at the PBE level of DFT.

Cell and atoms, written as extended XYZ:
```
9
Lattice="5.2648 0.0000 0.0000 2.6324 7.8412 0.0000 2.6324 0.0000 7.8412" Properties=species:S:1:pos:R:3 pbc="T T T"
La 5.2648 5.2395 0.0000
La 2.6324 0.0000 2.6017
La 5.2648 0.0000 5.2395
La 5.2648 5.2410 5.2410
La 2.6324 2.6017 0.0000
La 2.6324 5.2410 2.6003
La 5.2648 2.6003 2.6003
La 2.6324 2.6003 5.2410
Er 0.0000 0.0000 0.0000
```

Computed properties:
- V: 323.7 Å³/cell
- Energy above the lowest structure with this stoichiometry: 0 meV/atom
- DOS at the Fermi energy: 17.59 states/eV/f.u.
- Crystal system: tetragonal
- Calculated formation energy: 0.12 eV per formula unit


# 9
Computed, not measured: crystalline La5Er6 at its relaxed geometry at the PBE level of DFT.

Cell and atoms, written as extended XYZ:
```
11
Lattice="-2.6169 -4.9952 2.7018 9.3781 1.3913 -0.6927 2.9100 7.7140 4.7319" Properties=species:S:1:pos:R:3 pbc="T T T"
Er 3.5641 0.0338 0.7971
Er 1.4109 2.1385 2.6029
Er 8.5170 5.5171 3.7249
Er 8.2603 1.9716 4.1381
Er 6.1072 4.0763 5.9439
Er 1.1542 -1.4070 3.0161
La 2.6418 4.1996 5.2105
La 7.0295 -0.0895 1.5305
La 4.8356 2.0551 3.3705
La 5.0236 5.6479 2.9593
La 7.2645 3.4574 1.0799
```

Computed properties:
- V: 385.0 Å³/cell
- DOS at the Fermi energy: 13.49 states/eV/f.u.
- Crystal system: monoclinic
- Calculated formation energy: 1.82 eV per formula unit


# 10
Computed, not measured: crystalline La3Er7 at its relaxed geometry at the PBE level of DFT.

Cell and atoms, written as extended XYZ:
```
10
Lattice="-2.8962 0.5254 -4.1473 5.5917 -1.7018 -4.1205 -2.2825 -8.4614 3.6403" Properties=species:S:1:pos:R:3 pbc="T T T"
La 0.0000 0.0000 0.0000
La 1.8965 -4.2629 -1.8644
La -1.4835 -5.3749 -2.7631
Er -1.8778 -6.8883 0.4387
Er 1.3423 -6.1883 -4.8395
Er 2.7959 -0.8509 -2.0602
Er -0.5030 -1.8724 -3.0041
Er 0.9160 -7.7654 -1.6234
Er -0.9293 -3.4495 0.2120
Er 2.2907 -2.7495 -5.0662
```

Computed properties:
- V: 325.5 Å³/cell
- DOS at the Fermi energy: 16.18 states/eV/f.u.
- Crystal system: monoclinic
- Calculated formation energy: 0.36 eV per formula unit


# 11
Computed, not measured: crystalline La4Er5 at its relaxed geometry at the PBE level of DFT.

Cell and atoms, written as extended XYZ:
```
9
Lattice="3.5064 0.0016 0.9455 1.1951 9.1063 2.5293 -0.6698 0.9139 9.4586" Properties=species:S:1:pos:R:3 pbc="T T T"
Er 0.9085 3.9127 10.5760
Er -0.0587 3.5986 7.1879
Er 1.8799 0.6474 6.9770
Er 0.5735 6.3755 4.8390
Er -0.6593 0.9600 9.4196
La 2.5086 3.3413 4.6415
La 0.9496 0.3050 3.4529
La 2.4639 7.0013 11.7773
La 1.5196 6.6651 8.3049
```

Computed properties:
- V: 300.7 Å³/cell
- Energy above the lowest structure with this stoichiometry: 0 meV/atom
- DOS at the Fermi energy: 14.68 states/eV/f.u.
- Crystal system: orthorhombic
- Calculated formation energy: 0.28 eV per formula unit


# 12
Computed, not measured: crystalline La4Er3 at its relaxed geometry at the PBE level of DFT.

Cell and atoms, written as extended XYZ:
```
7
Lattice="-0.9393 2.8472 1.8658 -0.4168 -4.9596 7.3587 8.1208 2.8197 -3.5563" Properties=species:S:1:pos:R:3 pbc="T T T"
Er 3.5258 0.3186 4.6308
Er 0.0000 0.0000 0.0000
Er 3.2388 0.3887 1.0374
La 5.4495 2.4150 -0.9417
La 1.0535 -1.5486 2.8936
La 1.3152 -1.7077 6.6099
La 5.7111 2.2559 2.7746
```

Computed properties:
- V: 241.8 Å³/cell
- DOS at the Fermi energy: 12.73 states/eV/f.u.
- Crystal system: monoclinic
- Calculated formation energy: 0.90 eV per formula unit


> Number 11 is which compound?

La4Er5